Model P:
Entry from Alexandria: an optimized crystal structure of Ba3Gd (PBE).

Unit cell a=4.1658 b=6.8414 c=7.3505 alpha=90.00 beta=90.00 gamma=90.00
With the nearest neighbours (Å) after each atom.
Element x y z (fractional)
Ba 0.0000 0.5000 0.3193  10 Ba 4.11-4.34, 2 Gd 4.13
Ba 0.5000 0.0000 0.5043  8 Ba 4.17-4.23, 4 Gd 4.22-4.23
Ba 0.5000 0.5000 0.8381  8 Ba 4.11-4.34, 4 Gd 4.19
Gd 0.0000 0.0000 0.0049  10 Ba 4.13-4.23, 2 Gd 4.17

Values from the calculation:
* Fermi-level density of states: 2.669 states/eV/atom


Model Q:
Entry from Alexandria: an optimized crystal structure of Ba3Gd (PBE).

Unit cell a=6.6841 b=6.6841 c=6.6841 alpha=60.00 beta=60.00 gamma=60.00
With the nearest neighbours (Å) after each atom.
Element x y z (fractional)
Ba 0.0000 0.0000 0.0000  8 Ba 4.09
Ba 0.7500 0.7500 0.7500  4 Gd 4.09, 4 Ba 4.09
Ba 0.2500 0.2500 0.2500  4 Ba 4.09, 4 Gd 4.09
Gd 0.5000 0.5000 0.5000  8 Ba 4.09

Values from the calculation:
* Fermi-level density of states: 2.194 states/eV/atom


Stability ranking, top and bottom: model P is the most stable and model Q is the least stable.


Model P:
Entry from Alexandria: an optimized crystal structure of BaGd2Hg (PBE).

Unit cell a=3.8323 b=3.8323 c=9.6442 alpha=90.00 beta=90.00 gamma=90.00
With the nearest neighbours (Å) after each atom.
Element x y z (fractional)
Gd 0.0000 0.0000 0.8183  4 Hg 3.23, 1 Gd 3.51
Ba 0.5000 0.5000 0.5000  4 Ba 3.83, 8 Gd 4.09
Gd 0.0000 0.0000 0.1817  4 Hg 3.23, 1 Gd 3.51
Hg 0.5000 0.5000 0.0000  8 Gd 3.23

Values from the calculation:
* Fermi-level density of states: 2.073 states/eV/atom


Model Q:
Entry from Alexandria: an optimized crystal structure of BaGd2Hg (PBE).

Unit cell a=3.7333 b=3.7333 c=12.1222 alpha=81.14 beta=81.14 gamma=60.00
With the nearest neighbours (Å) after each atom.
Element x y z (fractional)
Hg 0.5000 0.5000 0.5000  6 Gd 3.17
Gd 0.8982 0.8982 0.3055  3 Hg 3.17
Ba 0.0000 0.0000 0.0000  2 Gd 3.64, 6 Ba 3.73
Gd 0.1018 0.1018 0.6945  3 Hg 3.17

Values from the calculation:
* Fermi-level density of states: 2.141 states/eV/atom


Stability ranking, top and bottom: model P is the most stable and model Q is the least stable.


Model P:
Entry from Alexandria: an optimized crystal structure of BaGd2Ho (PBE).

Unit cell a=3.6284 b=3.6284 c=13.0031 alpha=81.98 beta=81.98 gamma=60.00
With the nearest neighbours (Å) after each atom.
Element x y z (fractional)
Gd 0.9062 0.9062 0.2814  3 Ho 3.50, 1 Ba 3.61, 6 Gd 3.63
Gd 0.0938 0.0938 0.7186  3 Ho 3.50, 1 Ba 3.61, 6 Gd 3.63
Ho 0.5000 0.5000 0.5000  6 Gd 3.50, 6 Ho 3.63
Ba 0.0000 0.0000 0.0000  2 Gd 3.61, 6 Ba 3.63

Values from the calculation:
* Fermi-level density of states: 1.544 states/eV/atom


Model Q:
Entry from Alexandria: an optimized crystal structure of BaGd2Ho (PBE).

Unit cell a=3.7151 b=3.7151 c=10.7745 alpha=90.00 beta=90.00 gamma=90.00
With the nearest neighbours (Å) after each atom.
Element x y z (fractional)
Gd 0.0000 0.0000 0.2149  4 Ho 3.50, 4 Gd 3.72
Gd 0.0000 0.0000 0.7851  4 Ho 3.50, 4 Gd 3.72
Ho 0.5000 0.5000 0.0000  8 Gd 3.50, 4 Ho 3.72
Ba 0.5000 0.5000 0.5000  4 Ba 3.72, 8 Gd 4.04

Values from the calculation:
* Fermi-level density of states: 1.903 states/eV/atom


Stability ranking, top and bottom: model Q is the most stable and model P is the least stable.